Computed, not measured: crystalline TlWSe2 at its relaxed geometry at the PBE level of DFT.

Computed properties:
**Calculated total energy**: -5.42 eV per atom
**ΔE to the lowest computed polymorph**: 0.356 eV per atom

a b c (Å): 7.621 7.621 7.947
angles (deg): 90.00 90.00 90.00
Space group I-42d (No. 122)
Inequivalent atoms, fractional coordinates:
Tl 0.000 0.000 0.000 (multiplicity 4)
W 0.000 0.000 0.500 (multiplicity 4)
Se 0.148 0.250 0.625 (multiplicity 8)

Computed, not measured: crystalline BeFe2Re at its relaxed geometry at the PBE level of DFT.

Computed properties:
**Calculated total energy**: -8.17 eV per atom
**Formation energy**: 100 meV per atom

a b c (Å): 4.938 7.431 2.572
angles (deg): 90.00 90.00 90.00
Space group Cmmm (No. 65)
Inequivalent atoms, fractional coordinates:
Be 0.000 0.000 0.000 (multiplicity 2)
Fe 0.250 0.250 0.500 (multiplicity 4)
Re 0.000 0.500 0.000 (multiplicity 2)